i.
TeSeO2 after structural relaxation, computed with PBE.

Properties
Crystal system: trigonal
Calculated density (g/cm3): 6.0
Total magnetization (μB/cell): 0.00

Lattice parameters (Å, degrees): 6.653 6.653 6.653 30.25 30.25 30.25
Sites, in units of the cell vectors:
1 Te 0.000 0.000 0.000
2 Se 0.500 0.500 0.500
3 O 0.118 0.118 0.118
4 O 0.882 0.882 0.882


ii.
TeSeO2 after structural relaxation, computed with PBE.

Properties
Crystal system: trigonal
Calculated density (g/cm3): 6.2
Total magnetization (μB/cell): 0.00

Lattice parameters (Å, degrees): 7.524 7.524 7.524 24.44 24.44 24.44
Sites, in units of the cell vectors:
1 Te 0.000 0.000 0.000
2 Se 0.500 0.500 0.500
3 O 0.409 0.409 0.409
4 O 0.591 0.591 0.591


iii.
TeSeO2 after structural relaxation, computed with PBE.

Properties
Crystal system: tetragonal
Calculated density (g/cm3): 4.0
Total magnetization (μB/cell): 3.63

Lattice parameters (Å, degrees): 6.535 6.535 6.535 120.05 120.05 89.92
Sites, in units of the cell vectors:
1 Te 0.000 0.000 0.000
2 Te 0.750 0.250 0.500
3 Se 0.250 0.750 0.500
4 Se 0.500 0.500 0.000
5 O 0.375 0.130 0.255
6 O 0.870 0.125 0.245
7 O 0.875 0.120 0.745
8 O 0.880 0.625 0.755


iv.
TeSeO2 after structural relaxation, computed with PBE.

Properties
Crystal system: cubic
Calculated density (g/cm3): 7.2
Total magnetization (μB/cell): 0.00

Lattice parameters (Å, degrees): 4.275 4.275 4.275 60.00 60.00 60.00
Sites, in units of the cell vectors:
1 Te 0.000 0.000 0.000
2 Se 0.500 0.500 0.500
3 O 0.250 0.250 0.250
4 O 0.750 0.750 0.750


Need the numbers? Relative energies in meV/atom: i 38; ii 0; iii 77; iv 514.


i.
Te3SeO after structural relaxation, computed with PBE.

Properties
Crystal system: cubic
Calculated density (g/cm3): 5.1
Total magnetization (μB/cell): 0.00

Lattice parameters (Å, degrees): 5.392 5.392 5.392 90.00 90.00 90.00
Sites, in units of the cell vectors:
1 Te 0.000 0.000 0.500
2 Te 0.000 0.500 0.000
3 Te 0.500 0.000 0.000
4 Se 0.000 0.000 0.000
5 O 0.500 0.500 0.500


ii.
Te3SeO after structural relaxation, computed with PBE.

Properties
Crystal system: cubic
Calculated density (g/cm3): 7.0
Total magnetization (μB/cell): 0.00

Lattice parameters (Å, degrees): 4.849 4.849 4.849 90.00 90.00 90.00
Sites, in units of the cell vectors:
1 Te 0.000 0.000 0.500
2 Te 0.000 0.500 0.000
3 Te 0.500 0.000 0.000
4 Se 0.500 0.500 0.500
5 O 0.000 0.000 0.000


Need the numbers? Relative energies in meV/atom: i 751; ii 0.


i.
Th2Se2O after structural relaxation, computed with PBE.

Properties
Crystal system: tetragonal
Calculated density (g/cm3): 6.2
Total magnetization (μB/cell): 0.00

Lattice parameters (Å, degrees): 3.787 3.787 11.919 90.00 90.00 90.00
Sites, in units of the cell vectors:
1 Th 0.000 0.000 0.178
2 Th 0.000 0.000 0.822
3 Se 0.000 0.000 0.404
4 Se 0.000 0.000 0.596
5 O 0.000 0.000 0.000


ii.
Th2Se2O after structural relaxation, computed with PBE.

Properties
Crystal system: orthorhombic
Calculated density (g/cm3): 8.5
Total magnetization (μB/cell): 0.00

Lattice parameters (Å, degrees): 6.744 6.744 6.744 148.20 128.57 61.75
Sites, in units of the cell vectors:
1 Th 0.147 0.147 0.000
2 Th 0.853 0.853 0.000
3 Se 0.348 0.848 0.500
4 Se 0.652 0.152 0.500
5 O 0.000 0.500 0.500


Need the numbers? Relative energies in meV/atom: i 1274; ii 0.